## AcPr6Y3 (PBE)

Data for a relaxed AcPr6Y3 crystal.

Properties
The energy above the most stable polymorph in this dataset comes out at 69 meV per atom. The formation energy is 179 meV per atom. Its crystal system is orthorhombic.

a = 11.5150 Å, b = 13.6030 Å, c = 9.4413 Å
α = 90.00°, β = 90.00°, γ = 90.00°
Last column: nearest neighbours and their distance in Å.
Space group Cmc2_1 (No. 36)
Inequivalent atoms, fractional coordinates:
Ac  0.0000  0.2463  0.0000 (multiplicity 4)  8 Pr 3.84-4.30, 3 Y 3.93-4.15
Pr  0.0000  0.2304  0.4544 (multiplicity 4)  5 Pr 3.22-3.56, 2 Y 3.47
Pr  0.0000  0.4853  0.3743 (multiplicity 4)  5 Pr 3.44-3.60, 4 Y 3.62-3.64, 1 Ac 3.84
Pr  0.2135  0.0770  0.4521 (multiplicity 8)  4 Y 3.22-3.57, 3 Pr 3.22-3.58
Pr  0.2373  0.3463  0.2793 (multiplicity 8)  4 Pr 3.31-3.58, 3 Y 3.45-3.70
Y  0.0000  0.0052  0.7055 (multiplicity 4)  8 Pr 3.57-3.97, 1 Ac 3.93, 2 Y 3.98
Y  0.1923  0.3807  0.6372 (multiplicity 8)  5 Pr 3.22-3.47

## LaPmEuDy (PBE)

Data for a relaxed LaPmEuDy crystal.

Properties
The formation energy is 149 meV per atom. Its crystal system is cubic.

a = 8.3061 Å, b = 8.3061 Å, c = 8.3061 Å
α = 90.00°, β = 90.00°, γ = 90.00°
Last column: nearest neighbours and their distance in Å.
Space group F-43m (No. 216)
Inequivalent atoms, fractional coordinates:
La  0.0000  0.0000  0.0000 (multiplicity 4)  4 Pm 3.60, 4 Eu 3.60
Pm  0.2500  0.2500  0.2500 (multiplicity 4)  4 La 3.60, 4 Dy 3.60
Eu  0.2500  0.2500  0.7500 (multiplicity 4)  4 La 3.60, 4 Dy 3.60
Dy  0.0000  0.0000  0.5000 (multiplicity 4)  4 Pm 3.60, 4 Eu 3.60

## Rb4HAu (PBE)

Data for a relaxed Rb4HAu crystal.

Properties
The energy above the most stable polymorph in this dataset comes out at 0 meV per atom. Its crystal system is monoclinic.

a = 8.0799 Å, b = 4.6202 Å, c = 8.2961 Å
α = 90.00°, β = 90.71°, γ = 90.00°
Last column: nearest neighbours and their distance in Å.
Space group P2/m (No. 10)
Inequivalent atoms, fractional coordinates:
Rb  0.2112  0.0000  0.3580 (multiplicity 2)  2 H 3.11, 1 Au 3.41
Rb  0.2501  0.5000  0.8140 (multiplicity 2)  1 H 3.28, 2 Au 3.45
H  0.0000  0.5000  0.5000 (multiplicity 1)  6 Rb 3.11-3.28
Au  0.0000  0.0000  0.0000 (multiplicity 1)  6 Rb 3.41-3.45

## Pm3PrPd12 (PBE)

Data for a relaxed Pm3PrPd12 crystal.

Properties
The formation energy is -779 meV per atom. Its crystal system is tetragonal.

a = 4.1857 Å, b = 4.1857 Å, c = 16.8525 Å
α = 90.00°, β = 90.00°, γ = 90.00°
Last column: nearest neighbours and their distance in Å.
Space group P4/mmm (No. 123)
Inequivalent atoms, fractional coordinates:
Pm  0.0000  0.0000  0.0000 (multiplicity 1)  12 Pd 2.96
Pm  0.0000  0.0000  0.2487 (multiplicity 2)  12 Pd 2.96
Pr  0.0000  0.0000  0.5000 (multiplicity 1)  12 Pd 2.96-2.99
Pd  0.0000  0.5000  0.1245 (multiplicity 4)  8 Pd 2.96, 4 Pm 2.96
Pd  0.0000  0.5000  0.3732 (multiplicity 4)  8 Pd 2.96-2.99, 2 Pm 2.96, 2 Pr 2.99
Pd  0.5000  0.5000  0.0000 (multiplicity 1)  4 Pm 2.96, 8 Pd 2.96
Pd  0.5000  0.5000  0.2491 (multiplicity 2)  8 Pd 2.96, 4 Pm 2.96
Pd  0.5000  0.5000  0.5000 (multiplicity 1)  4 Pr 2.96, 8 Pd 2.99

## TbPr2Br (PBE)

Data for a relaxed TbPr2Br crystal.

Properties
The energy above the most stable polymorph in this dataset comes out at 0 meV per atom. As for the raw formation energy: -0.56 eV per atom. Its crystal system is trigonal.

a = 3.7616 Å, b = 3.7616 Å, c = 31.7967 Å
α = 90.00°, β = 90.00°, γ = 120.00°
Last column: nearest neighbours and their distance in Å.
Space group R3m (No. 160, hexagonal axes)
Inequivalent atoms, fractional coordinates:
Tb  0.0000  0.0000  0.0000 (multiplicity 3)  6 Pr 3.61, 6 Tb 3.76
Pr  0.0000  0.0000  0.5761 (multiplicity 3)  3 Br 3.25, 3 Tb 3.61
Pr  0.0000  0.0000  0.7576 (multiplicity 3)  3 Br 3.24, 3 Tb 3.61
Br  0.0000  0.0000  0.1666 (multiplicity 3)  6 Pr 3.24-3.25

## Ca2LaSc (PBE)

Data for a relaxed Ca2LaSc crystal.

Properties
The energy above the most stable polymorph in this dataset comes out at 126 meV per atom. The formation energy is 208 meV per atom. Its crystal system is orthorhombic.

a = 3.5442 Å, b = 5.5248 Å, c = 7.1554 Å
α = 90.00°, β = 90.00°, γ = 90.00°
Last column: nearest neighbours and their distance in Å.
Space group Pmmm (No. 47)
Inequivalent atoms, fractional coordinates:
Ca  0.0000  0.0000  0.2409 (multiplicity 2)  4 Ca 3.45-3.71, 4 Sc 3.71, 4 La 3.77
La  0.5000  0.5000  0.5000 (multiplicity 1)  2 La 3.54, 2 Sc 3.58, 8 Ca 3.77
Sc  0.5000  0.5000  0.0000 (multiplicity 1)  2 Sc 3.54, 2 La 3.58, 8 Ca 3.71

## NaDyAg2Cl6 (PBE)

Data for a relaxed NaDyAg2Cl6 crystal.

Properties
As for the raw formation energy: -1.45 eV per atom. Its crystal system is trigonal.

a = 6.9239 Å, b = 6.9239 Å, c = 18.9029 Å
α = 90.00°, β = 90.00°, γ = 120.00°
Last column: nearest neighbours and their distance in Å.
Space group R3 (No. 146, hexagonal axes)
Inequivalent atoms, fractional coordinates:
Na  0.0000  0.0000  0.0000 (multiplicity 3)  6 Cl 2.80-2.88
Dy  0.0000  0.0000  0.4953 (multiplicity 3)  6 Cl 2.66-2.67
Ag  0.0000  0.0000  0.2975 (multiplicity 3)  6 Cl 2.71-2.94
Ag  0.0000  0.0000  0.8011 (multiplicity 3)  6 Cl 2.69-2.95
Cl  0.0213  0.3347  0.5701 (multiplicity 9)  1 Dy 2.66, 2 Ag 2.71-2.95, 1 Na 2.88
Cl  0.0326  0.6677  0.0740 (multiplicity 9)  1 Dy 2.67, 2 Ag 2.69-2.94, 1 Na 2.80

## Y3Be2 (PBE)

Data for a relaxed Y3Be2 crystal.

Properties
The energy above the most stable polymorph in this dataset comes out at 144 meV per atom. The formation energy is 327 meV per atom. Its crystal system is trigonal.

a = 3.6035 Å, b = 3.6035 Å, c = 33.1466 Å
α = 90.00°, β = 90.00°, γ = 120.00°
Last column: nearest neighbours and their distance in Å.
Space group R-3m (No. 166, hexagonal axes)
Inequivalent atoms, fractional coordinates:
Y  0.0000  0.0000  0.0000 (multiplicity 3)  6 Be 2.89
Y  0.0000  0.0000  0.2147 (multiplicity 6)  3 Be 2.84
Be  0.0000  0.0000  0.3938 (multiplicity 6)  6 Y 2.84-2.89

Number 1: DOS(E_F) 14.69 states/eV/f.u., ρ 6.01 Mg/m³. Number 2: DOS(E_F) 6.39 states/eV/f.u., ρ 6.94 Mg/m³. Number 3: DOS(E_F) 3.31 states/eV/f.u., ρ 2.89 Mg/m³. Number 4: DOS(E_F) 9.40 states/eV/f.u., ρ 10.42 Mg/m³. Number 5: DOS(E_F) 4.13 states/eV/f.u., ρ 6.66 Mg/m³. Number 6: DOS(E_F) 8.37 states/eV/f.u., ρ 3.13 Mg/m³. Number 7: DOS(E_F) 0.00 states/eV/f.u., ρ 3.90 Mg/m³. Number 8: DOS(E_F) 6.92 states/eV/f.u., ρ 3.81 Mg/m³.